A plane-wave DFT calculation with SCAN was carried out for FeMo2P at its PBEsol-relaxed geometry.

Values from the calculation:
For the formation energy, the calculation gives -0.01 eV per atom.

Cell lengths 3.106, 3.106, 5.446 Å; angles 90.00, 90.00, 90.00 degrees
Space group P4mm (No. 99)
Inequivalent atoms, fractional coordinates:
Fe: 0.000 0.000 0.000 x1
Mo: 0.000 0.000 0.530 x1
Mo: 0.500 0.500 0.197 x1
P: 0.500 0.500 0.740 x1

A plane-wave DFT calculation with SCAN was carried out for ScP3Ir at its PBEsol-relaxed geometry.

Values from the calculation:
For the formation energy, the calculation gives 1.37 eV per atom.

Cell lengths 4.680, 4.680, 4.680 Å; angles 90.00, 90.00, 90.00 degrees
Space group Pm-3m (No. 221)
Inequivalent atoms, fractional coordinates:
Sc: 0.000 0.000 0.000 x1
P: 0.000 0.000 0.500 x3
Ir: 0.500 0.500 0.500 x1

A plane-wave DFT calculation with SCAN was carried out for TiCuAsSe2 at its PBEsol-relaxed geometry.

Values from the calculation:
Its uncorrected formation energy is 0.20 eV/atom.

Cell lengths 4.809, 4.809, 4.842 Å; angles 90.00, 90.00, 90.00 degrees
Space group P4/mmm (No. 123)
Inequivalent atoms, fractional coordinates:
Ti: 0.000 0.000 0.000 x1
Cu: 0.500 0.500 0.500 x1
As: 0.000 0.000 0.500 x1
Se: 0.000 0.500 0.000 x2

A plane-wave DFT calculation with SCAN was carried out for Ru2WSe at its PBEsol-relaxed geometry.

Values from the calculation:
Its uncorrected formation energy is 0.73 eV/atom.

Cell lengths 2.880, 4.690, 8.924 Å; angles 90.00, 90.00, 90.00 degrees
Space group Cmm2 (No. 35)
Inequivalent atoms, fractional coordinates:
Ru: 0.000 0.000 0.000 x2
Ru: 0.000 0.500 0.250 x2
W: 0.000 0.000 0.489 x2
Se: 0.000 0.500 0.763 x2

A plane-wave DFT calculation with SCAN was carried out for LaAg2Pt at its PBEsol-relaxed geometry.

Values from the calculation:
For the formation energy, the calculation gives 0.05 eV per atom.

Cell lengths 3.0115, 3.0115, 29.3237 Å; angles 90.00, 90.00, 120.00 degrees
Space group R3m (No. 160, hexagonal axes)
Inequivalent atoms, fractional coordinates:
La: 0.0000 0.0000 0.0000 x3
Ag: 0.0000 0.0000 0.2372 x3
Ag: 0.0000 0.0000 0.4938 x3
Pt: 0.0000 0.0000 0.7509 x3

A plane-wave DFT calculation with SCAN was carried out for Ce3GeS2 at its PBEsol-relaxed geometry.

Values from the calculation:
Its uncorrected formation energy is -1.77 eV/atom.

Cell lengths 4.044, 5.698, 12.073 Å; angles 90.00, 90.00, 90.00 degrees
Space group Immm (No. 71)
Inequivalent atoms, fractional coordinates:
Ce: 0.000 0.000 0.000 x2
Ce: 0.000 0.000 0.327 x4
Ge: 0.000 0.500 0.000 x2
S: 0.000 0.500 0.336 x4

A plane-wave DFT calculation with SCAN was carried out for LaWAu2 at its PBEsol-relaxed geometry.

Values from the calculation:
For the formation energy, the calculation gives 0.20 eV per atom.

Cell lengths 2.953, 2.953, 8.869 Å; angles 90.00, 90.00, 90.00 degrees
Space group P4mm (No. 99)
Inequivalent atoms, fractional coordinates:
La: 0.000 0.000 0.000 x1
W: 0.500 0.500 0.287 x1
Au: 0.000 0.000 0.494 x1
Au: 0.500 0.500 0.724 x1

A plane-wave DFT calculation with SCAN was carried out for PrB2C2 at its PBEsol-relaxed geometry.

Values from the calculation:
For the formation energy, the calculation gives -0.51 eV per atom.

Cell lengths 5.383, 5.383, 3.809 Å; angles 90.00, 90.00, 90.00 degrees
Space group P4/mbm (No. 127)
Inequivalent atoms, fractional coordinates:
Pr: 0.000 0.000 0.000 x2
B: 0.138 0.362 0.500 x4
C: 0.161 0.661 0.500 x4

A plane-wave DFT calculation with SCAN was carried out for LiGa3Os at its PBEsol-relaxed geometry.

Values from the calculation:
For the formation energy, the calculation gives -0.19 eV per atom.

Cell lengths 4.767, 4.767, 4.767 Å; angles 90.00, 90.00, 90.00 degrees
Space group Pm-3m (No. 221)
Inequivalent atoms, fractional coordinates:
Li: 0.000 0.000 0.000 x1
Ga: 0.000 0.500 0.500 x3
Os: 0.500 0.500 0.500 x1

A plane-wave DFT calculation with SCAN was carried out for CoTc2Os at its PBEsol-relaxed geometry.

Values from the calculation:
For the formation energy, the calculation gives 0.36 eV per atom.

Cell lengths 2.789, 4.410, 8.755 Å; angles 90.00, 90.00, 90.00 degrees
Space group Cmmm (No. 65)
Inequivalent atoms, fractional coordinates:
Co: 0.000 0.000 0.000 x2
Tc: 0.000 0.500 0.241 x4
Os: 0.000 0.000 0.500 x2

A plane-wave DFT calculation with SCAN was carried out for AlTcRu2 at its PBEsol-relaxed geometry.

Values from the calculation:
For the formation energy, the calculation gives -0.26 eV per atom.

Cell lengths 4.309, 4.309, 2.922 Å; angles 90.00, 90.00, 90.00 degrees
Space group P4/mmm (No. 123)
Inequivalent atoms, fractional coordinates:
Al: 0.000 0.000 0.000 x1
Tc: 0.500 0.500 0.000 x1
Ru: 0.000 0.500 0.500 x2

A plane-wave DFT calculation with SCAN was carried out for CoSbP2 at its PBEsol-relaxed geometry.

Values from the calculation:
Its uncorrected formation energy is 0.84 eV/atom.

Cell lengths 6.243, 6.243, 6.243 Å; angles 90.00, 90.00, 90.00 degrees
Space group F-43m (No. 216)
Inequivalent atoms, fractional coordinates:
Co: 0.000 0.000 0.000 x4
Sb: 0.250 0.250 0.250 x4
P: 0.000 0.000 0.500 x4
P: 0.250 0.250 0.750 x4

| no. | magnetization (μB/cell) | total energy (eV per formula unit) | density (Mg/m³) |
| --- | --- | --- | --- |
| 1 | 1.92 | -98.352 | 8.8 |
| 2 | 0.00 | -109.661 | 5.3 |
| 3 | 0.00 | -90.562 | 5.1 |
| 4 | 2.92 | -156.512 | 12.8 |
| 5 | 0.00 | -175.817 | 11.9 |
| 6 | 4.92 | -182.664 | 6.7 |
| 7 | 0.00 | -250.324 | 15.4 |
| 8 | 0.00 | -80.912 | 5.6 |
| 9 | 0.00 | -124.238 | 6.2 |
| 10 | 4.77 | -157.846 | 13.7 |
| 11 | 0.00 | -113.521 | 10.0 |
| 12 | 4.63 | -72.018 | 6.6 |